DFT (PBE) results for a geometry-optimized PmScGa5Pt2 structure.

abc: 4.588 4.588 9.621
angles: 90.00 90.00 90.00
Space group P4/mmm (No. 123)
Inequivalent atoms, fractional coordinates:
Pm 0.000 0.000 0.000 [1 per cell]
Sc 0.000 0.000 0.500 [1 per cell]
Ga 0.000 0.500 0.328 [4 per cell]
Ga 0.500 0.500 0.000 [1 per cell]
Pt 0.500 0.500 0.239 [2 per cell]

Values from the calculation:
electronic total energy = -4.6136 eV per atom
energy of formation from the pure elements = -0.36 eV per atom

***

DFT (PBE) results for a geometry-optimized Pm2Ga3SiPt4 structure.

abc: 4.257 4.257 10.409
angles: 90.00 90.00 90.00
Space group P-4m2 (No. 115)
Inequivalent atoms, fractional coordinates:
Pm 0.000 0.500 0.241 [2 per cell]
Ga 0.000 0.000 0.000 [1 per cell]
Ga 0.000 0.500 0.636 [2 per cell]
Si 0.500 0.500 0.000 [1 per cell]
Pt 0.000 0.000 0.500 [1 per cell]
Pt 0.000 0.500 0.875 [2 per cell]
Pt 0.500 0.500 0.500 [1 per cell]

Values from the calculation:
electronic total energy = -5.8115 eV per atom
E_form (uncorrected) = -96.0 kJ/mol of atoms

***

DFT (PBE) results for a geometry-optimized Pm3Ga2SiPt9 structure.

abc: 6.6194 6.6194 8.4052
angles: 90.00 90.00 120.00
Space group P-3m1 (No. 164)
Inequivalent atoms, fractional coordinates:
Pm 0.0000 0.0000 0.0000 [1 per cell]
Pm 0.3333 0.6667 0.7104 [2 per cell]
Ga 0.3333 0.6667 0.1960 [2 per cell]
Si 0.0000 0.0000 0.5000 [1 per cell]
Pt 0.0000 0.5000 0.0000 [3 per cell]
Pt 0.1385 0.2771 0.2904 [6 per cell]

Values from the calculation:
electronic total energy = -5.9940 eV per atom
E_form (uncorrected) = -63.1 kJ/mol of atoms

***

DFT (PBE) results for a geometry-optimized PmGaSi2Pt7 structure.

abc: 4.092 4.092 28.020
angles: 90.00 90.00 90.00
Space group I-4m2 (No. 119)
Inequivalent atoms, fractional coordinates:
Pm 0.000 0.000 0.000 [2 per cell]
Ga 0.000 0.500 0.250 [2 per cell]
Si 0.000 0.000 0.376 [4 per cell]
Pt 0.000 0.000 0.295 [4 per cell]
Pt 0.000 0.000 0.500 [2 per cell]
Pt 0.000 0.500 0.080 [4 per cell]
Pt 0.000 0.500 0.579 [4 per cell]

Values from the calculation:
electronic total energy = -6.0147 eV per atom
E_form (uncorrected) = -46.1 kJ/mol of atoms

***

DFT (PBE) results for a geometry-optimized Pm2Ga4SiPt3 structure.

abc: 4.281 4.281 10.483
angles: 90.00 90.00 90.00
Space group P-4m2 (No. 115)
Inequivalent atoms, fractional coordinates:
Pm 0.000 0.500 0.250 [2 per cell]
Ga 0.000 0.000 0.000 [1 per cell]
Ga 0.000 0.500 0.636 [2 per cell]
Ga 0.500 0.500 0.000 [1 per cell]
Si 0.000 0.000 0.500 [1 per cell]
Pt 0.000 0.500 0.870 [2 per cell]
Pt 0.500 0.500 0.500 [1 per cell]

Values from the calculation:
electronic total energy = -5.3563 eV per atom
E_form (uncorrected) = -81.1 kJ/mol of atoms

***

DFT (PBE) results for a geometry-optimized PmGaSiPt3 structure.

abc: 5.634 15.641 5.671
angles: 90.00 90.00 90.00
Space group Cmcm (No. 63)
Inequivalent atoms, fractional coordinates:
Pm 0.000 0.187 0.250 [4 per cell]
Ga 0.000 0.102 0.750 [4 per cell]
Si 0.000 0.412 0.750 [4 per cell]
Pt 0.000 0.261 0.750 [4 per cell]
Pt 0.250 0.000 0.000 [8 per cell]

Values from the calculation:
electronic total energy = -6.0614 eV per atom
E_form (uncorrected) = -81.1 kJ/mol of atoms

***

DFT (PBE) results for a geometry-optimized Pm2GaSi4Pt3 structure.

abc: 4.246 4.246 9.980
angles: 90.00 90.00 90.00
Space group P-4m2 (No. 115)
Inequivalent atoms, fractional coordinates:
Pm 0.000 0.500 0.246 [2 per cell]
Ga 0.000 0.000 0.500 [1 per cell]
Si 0.000 0.000 0.000 [1 per cell]
Si 0.000 0.500 0.640 [2 per cell]
Si 0.500 0.500 0.000 [1 per cell]
Pt 0.000 0.500 0.880 [2 per cell]
Pt 0.500 0.500 0.500 [1 per cell]

Values from the calculation:
electronic total energy = -6.2228 eV per atom
E_form (uncorrected) = -95.4 kJ/mol of atoms

***

DFT (PBE) results for a geometry-optimized Pm2GaSi3Pt4 structure.

abc: 4.277 4.277 9.954
angles: 90.00 90.00 90.00
Space group P-4m2 (No. 115)
Inequivalent atoms, fractional coordinates:
Pm 0.000 0.500 0.246 [2 per cell]
Ga 0.500 0.500 0.000 [1 per cell]
Si 0.000 0.000 0.000 [1 per cell]
Si 0.000 0.500 0.628 [2 per cell]
Pt 0.000 0.000 0.500 [1 per cell]
Pt 0.000 0.500 0.867 [2 per cell]
Pt 0.500 0.500 0.500 [1 per cell]

Values from the calculation:
electronic total energy = -6.3906 eV per atom
E_form (uncorrected) = -105.6 kJ/mol of atoms

***

DFT (PBE) results for a geometry-optimized Pm2Ga2SiPt4 structure.

abc: 6.424 6.424 8.507
angles: 90.00 90.00 90.00
Space group I4/mmm (No. 139)
Inequivalent atoms, fractional coordinates:
Pm 0.000 0.500 0.250 [4 per cell]
Ga 0.000 0.000 0.182 [4 per cell]
Si 0.000 0.000 0.500 [2 per cell]
Pt 0.237 0.237 0.000 [8 per cell]

Values from the calculation:
electronic total energy = -5.8536 eV per atom
E_form (uncorrected) = -80.8 kJ/mol of atoms

***

DFT (PBE) results for a geometry-optimized PmSm2Ga3Pt4 structure.

abc: 4.279 4.279 11.448
angles: 90.00 90.00 90.00
Space group P-4m2 (No. 115)
Inequivalent atoms, fractional coordinates:
Pm 0.000 0.000 0.000 [1 per cell]
Sm 0.000 0.500 0.722 [2 per cell]
Ga 0.000 0.500 0.379 [2 per cell]
Ga 0.500 0.500 0.000 [1 per cell]
Pt 0.000 0.000 0.500 [1 per cell]
Pt 0.000 0.500 0.163 [2 per cell]
Pt 0.500 0.500 0.500 [1 per cell]

Values from the calculation:
electronic total energy = -5.6747 eV per atom
energy of formation from the pure elements = -0.93 eV per atom

***

DFT (PBE) results for a geometry-optimized PmGaSnPt structure.

abc: 7.020 7.020 7.020
angles: 90.00 90.00 90.00
Space group F-43m (No. 216)
Inequivalent atoms, fractional coordinates:
Pm 0.000 0.000 0.000 [4 per cell]
Ga 0.250 0.250 0.250 [4 per cell]
Sn 0.000 0.000 0.500 [4 per cell]
Pt 0.250 0.250 0.750 [4 per cell]

Values from the calculation:
electronic total energy = -5.1302 eV per atom
energy of formation from the pure elements = -0.67 eV per atom

***

DFT (PBE) results for a geometry-optimized Pm2Ga4SnPt3 structure.

abc: 4.321 4.321 10.776
angles: 90.00 90.00 90.00
Space group P-4m2 (No. 115)
Inequivalent atoms, fractional coordinates:
Pm 0.000 0.500 0.236 [2 per cell]
Ga 0.000 0.000 0.000 [1 per cell]
Ga 0.000 0.500 0.651 [2 per cell]
Ga 0.500 0.500 0.000 [1 per cell]
Sn 0.000 0.000 0.500 [1 per cell]
Pt 0.000 0.500 0.876 [2 per cell]
Pt 0.500 0.500 0.500 [1 per cell]

Values from the calculation:
electronic total energy = -5.2191 eV per atom
energy of formation from the pure elements = -0.85 eV per atom

***

Among the records above, which one has the lowest electronic total energy?
Pm2GaSi3Pt4